(1)
## Nd2GdO (GGA-PBE)

Data for an optimized crystal structure of Nd2GdO.

The structure in POSCAR format:
```
Nd2GdO
1.0
3.2464 0.0000 0.0000
0.0000 3.2464 0.0000
0.0000 0.0000 9.2624
Nd Gd O
2 1 1
Cartesian
0.0000 0.0000 7.7000
0.0000 0.0000 1.5624
1.6232 1.6232 4.6312
1.6232 1.6232 0.0000
```

**E above lowest polymorph**: 31.7 kJ per mole of atoms
**Formation energy without anion corrections**: -0.806 eV/atom
**Spin magnetization**: 7.6 μB/f.u.

***

(2)
## MnPt2Br (GGA-PBE)

Data for an optimized crystal structure of MnPt2Br.

The structure in POSCAR format:
```
MnPt2Br
1.0
-5.1031 -0.2617 0.0676
-3.9854 -2.3348 2.1864
-0.8021 3.0202 3.3782
Br Mn Pt
1 1 2
Cartesian
-7.4179 0.3178 4.2242
-2.4726 0.1059 1.4081
-8.8707 -2.4681 2.2648
-5.1631 0.0834 2.8053
```

**E above lowest polymorph**: 13.1 kJ per mole of atoms
**Formation energy without anion corrections**: 0.186 eV/atom
**Spin magnetization**: 4.7 μB/f.u.

***

(3)
## KCa2Os (GGA-PBE)

Data for an optimized crystal structure of KCa2Os.

The structure in POSCAR format:
```
KCa2Os
1.0
-3.3316 -3.9469 -1.3695
-2.5602 -2.7695 3.7853
-5.2692 0.6050 0.6504
Ca K Os
2 1 1
Cartesian
-2.7902 -1.5279 0.7666
0.0000 0.0000 0.0000
-5.5805 -3.0557 1.5331
-8.3707 -4.5836 2.2997
```

**E above lowest polymorph**: 51.3 kJ per mole of atoms
**Formation enthalpy at 0 K**: 942 meV per atom
**Spin magnetization**: 0.0 μB/f.u.

***

(4)
## Zn2CrHg2 (GGA-PBE)

Data for an optimized crystal structure of Zn2CrHg2.

The structure in POSCAR format:
```
Zn2CrHg2
1.0
3.5820 0.0000 0.0000
0.0000 3.5820 0.0000
1.7910 1.7910 7.6658
Zn Cr Hg
2 1 2
Cartesian
1.7910 3.5820 3.8329
3.5820 1.7910 3.8329
0.0000 0.0000 0.0000
3.5820 3.5820 6.1176
1.7910 1.7910 1.5482
```

**E above lowest polymorph**: 0.0 kJ per mole of atoms
**Formation enthalpy at 0 K**: 333 meV per atom
**Spin magnetization**: 4.2 μB/f.u.

***

Which value of spin magnetization does entry 3 give?
0.0 μB/f.u.

***

Which formula does entry 4 have?
Zn2CrHg2

***

What is the spin magnetization in the third record?
0.0 μB/f.u.